Record 1
The following is a DFT calculation (PBE) of crystalline RbBa2AlPd at its relaxed geometry.

The space group is P4/mmm, No. 123.

The structure in extended XYZ format:
```
5
Lattice="-4.599 4.364 0.694 -4.062 -4.569 1.815 1.386 0.691 4.838" Properties=species:S:1:pos:R:3 pbc="T T T"
Pd 0.000 0.000 0.000
Rb -3.638 0.242 3.674
Ba -2.299 2.182 0.347
Ba -2.031 -2.285 0.908
Al 0.693 0.345 2.419
```

Record 2
The following is a DFT calculation (PBE) of crystalline GeIr at its relaxed geometry.

The space group is Amm2, No. 38.

The structure in extended XYZ format:
```
12
Lattice="3.996 0.000 0.000 0.000 8.767 0.000 0.000 0.000 5.725" Properties=species:S:1:pos:R:3 pbc="T T T"
Ge 1.998 5.887 4.269
Ge 0.000 0.000 4.880
Ge 0.000 4.384 2.017
Ge 1.998 2.881 4.269
Ge 1.998 7.265 1.406
Ge 1.998 1.503 1.406
Ir 1.998 4.384 0.476
Ir 0.000 6.687 3.066
Ir 0.000 2.303 0.204
Ir 0.000 2.080 3.066
Ir 0.000 6.464 0.204
Ir 1.998 0.000 3.339
```

Record 3
The following is a DFT calculation (PBE) of crystalline Y2Er3Ni2 at its relaxed geometry.

The space group is C2/m, No. 12.

The structure in extended XYZ format:
```
7
Lattice="-3.151 -1.625 -0.652 4.048 -4.523 1.679 -3.728 4.535 6.713" Properties=species:S:1:pos:R:3 pbc="T T T"
Er -0.213 -1.529 4.837
Er -1.576 -0.813 -0.326
Er -2.619 -0.085 2.903
Ni -0.046 -0.740 2.066
Ni -2.786 -0.874 5.674
Y -2.203 1.911 5.878
Y -0.629 -3.525 1.862
```

Raw total energy? In order: -2.90, -6.89, -5.72 eV/atom.